# 1
Compound: CaTa2Si
Source: Alexandria
Functional: PBE
Structure: optimized geometry

Cell lengths 3.0689, 4.9821, 5.2095 Å; angles 90.00, 95.22, 90.00 degrees
Fractional positions:
Ca: 0.0000 0.0000 0.0000
Ta: 0.3690 0.5000 0.7356
Ta: 0.6310 0.5000 0.2644
Si: 0.5000 0.0000 0.5000

N(E_F): 3.79 states/eV per cell
Total DFT energy (no corrections): -7.43 eV/atom

# 2
Compound: CaTa3Si
Source: Alexandria
Functional: PBE
Structure: optimized geometry

Cell lengths 4.8016, 4.8016, 4.8016 Å; angles 90.00, 90.00, 90.00 degrees
Fractional positions:
Ca: 0.0000 0.0000 0.0000
Ta: 0.0000 0.5000 0.5000
Ta: 0.5000 0.0000 0.5000
Ta: 0.5000 0.5000 0.0000
Si: 0.5000 0.5000 0.5000

Excess energy over the best structure of this formula in the dataset: 0 meV/atom
N(E_F): 5.01 states/eV per cell

# 3
Compound: CaTa2Si
Source: Alexandria
Functional: PBE
Structure: optimized geometry

Cell lengths 4.7532, 4.7532, 6.2798 Å; angles 96.50, 96.50, 37.18 degrees
Fractional positions:
Ca: 0.0000 0.0000 0.0000
Ta: 0.5210 0.5210 0.5242
Ta: 0.7817 0.7817 0.3406
Si: 0.2556 0.2556 0.6956

N(E_F): 3.16 states/eV per cell
Total DFT energy (no corrections): -7.52 eV/atom